La4In2N: optimized geometry, PBE.

For the raw total energy, the calculation gives -73.4 eV for the cell shown. The calculation puts the density of states at the Fermi level at 11.45 states/eV/cell. The energy above the most stable polymorph in this dataset is 0.2111 eV/atom.

The space group is Cmmm (No. 65) and the conventional cell measures 5.270, 24.756 and 3.513 Å, with angles of 90.00, 90.00 and 90.00 degrees. The asymmetric unit holds La at (0.000, 0.067, 0.000), La at (0.000, 0.208, 0.500), In at (0.000, 0.339, 0.000) and N at (0.000, 0.000, 0.500).

---

Hf2AlOs2: optimized geometry, PBE.

For the raw total energy, the calculation gives -94.7 eV for the cell shown. The calculation puts the density of states at the Fermi level at 12.53 states/eV/cell.

The space group is P4/mbm (No. 127) and the conventional cell measures 7.442, 7.442 and 3.281 Å, with angles of 90.00, 90.00 and 90.00 degrees. The asymmetric unit holds Hf at (0.158, 0.342, 0.000), Al at (0.000, 0.000, 0.500) and Os at (0.144, 0.644, 0.500).

---

MgBe2Sn: optimized geometry, PBE.

For the raw total energy, the calculation gives -43.9 eV for the cell shown. The calculation puts the density of states at the Fermi level at 8.91 states/eV/cell. The energy above the most stable polymorph in this dataset is 0.0000 eV/atom.

The space group is Fm-3m (No. 225) and the conventional cell measures 6.366, 6.366 and 6.366 Å, with angles of 90.00, 90.00 and 90.00 degrees. The asymmetric unit holds Mg at (0.000, 0.000, 0.000), Be at (0.250, 0.250, 0.250) and Sn at (0.000, 0.000, 0.500).

---

Tl2CoHg: optimized geometry, PBE.

For the raw total energy, the calculation gives -39.1 eV for the cell shown. The calculation puts the density of states at the Fermi level at 52.37 states/eV/cell. The energy above the most stable polymorph in this dataset is 0.2799 eV/atom.

The space group is Fm-3m (No. 225) and the conventional cell measures 7.196, 7.196 and 7.196 Å, with angles of 90.00, 90.00 and 90.00 degrees. The asymmetric unit holds Tl at (0.250, 0.250, 0.250), Co at (0.000, 0.000, 0.000) and Hg at (0.000, 0.000, 0.500).

---

Rb3BaGa: optimized geometry, PBE.

For the raw total energy, the calculation gives -6.5 eV for the cell shown. The calculation puts the density of states at the Fermi level at 5.62 states/eV/cell.

The space group is Pm-3m (No. 221) and the conventional cell measures 7.056, 7.056 and 7.056 Å, with angles of 90.00, 90.00 and 90.00 degrees. The asymmetric unit holds Rb at (0.000, 0.000, 0.500), Ba at (0.500, 0.500, 0.500) and Ga at (0.000, 0.000, 0.000).

---

LuTh2Ni: optimized geometry, PBE.

For the raw total energy, the calculation gives -25.5 eV for the cell shown. The calculation puts the density of states at the Fermi level at 6.35 states/eV/cell.

The space group is P4/mmm (No. 123) and the conventional cell measures 3.543, 3.543 and 8.414 Å, with angles of 90.00, 90.00 and 90.00 degrees. The asymmetric unit holds Lu at (0.000, 0.000, 0.000), Th at (0.500, 0.500, 0.302) and Ni at (0.000, 0.000, 0.500).

---

K2SrLa: optimized geometry, PBE.

For the raw total energy, the calculation gives -15.1 eV for the cell shown. The calculation puts the density of states at the Fermi level at 9.96 states/eV/cell. The energy above the most stable polymorph in this dataset is 0.1235 eV/atom.

The space group is C2/m (No. 12) and the conventional cell measures 8.101, 14.781 and 3.905 Å, with angles of 90.00, 114.52 and 90.00 degrees. The asymmetric unit holds K at (0.250, 0.250, 0.000), Sr at (0.000, 0.000, 0.500) and La at (0.000, 0.500, 0.500).

---

TlP2WS8: optimized geometry, PBE.

For the raw total energy, the calculation gives -184.6 eV for the cell shown. The calculation puts the density of states at the Fermi level at 12.99 states/eV/cell.

The space group is R-3 (No. 148, hexagonal axes) and the conventional cell measures 5.9513, 5.9513 and 28.4575 Å, with angles of 90.00, 90.00 and 120.00 degrees. The asymmetric unit holds Tl at (0.0000, 0.0000, 0.0000), P at (0.0000, 0.0000, 0.2369), W at (0.0000, 0.0000, 0.5000), S at (0.0000, 0.0000, 0.3064) and S at (0.0024, 0.3398, 0.7858).

---

Ca2LaSc: optimized geometry, PBE.

For the raw total energy, the calculation gives -28.8 eV for the cell shown. The calculation puts the density of states at the Fermi level at 15.30 states/eV/cell. The energy above the most stable polymorph in this dataset is 0.1363 eV/atom.

The space group is I4/mmm (No. 139) and the conventional cell measures 5.157, 5.157 and 10.765 Å, with angles of 90.00, 90.00 and 90.00 degrees. The asymmetric unit holds Ca at (0.000, 0.500, 0.250), La at (0.000, 0.000, 0.000) and Sc at (0.000, 0.000, 0.500).

---

SrCuSn: optimized geometry, PBE.

For the raw total energy, the calculation gives -43.2 eV for the cell shown. The calculation puts the density of states at the Fermi level at 8.21 states/eV/cell.

The space group is Immm (No. 71) and the conventional cell measures 4.513, 8.036 and 9.119 Å, with angles of 90.00, 90.00 and 90.00 degrees. The asymmetric unit holds Sr at (0.000, 0.000, 0.243), Cu at (0.000, 0.344, 0.500) and Sn at (0.000, 0.321, 0.000).

---

Pu4TlPb5: optimized geometry, PBE.

For the raw total energy, the calculation gives -79.3 eV for the cell shown. The calculation puts the density of states at the Fermi level at 29.98 states/eV/cell.

The space group is P4/mmm (No. 123) and the conventional cell measures 3.421, 3.421 and 24.545 Å, with angles of 90.00, 90.00 and 90.00 degrees. The asymmetric unit holds Pu at (0.000, 0.000, 0.096), Pu at (0.000, 0.000, 0.290), Tl at (0.000, 0.000, 0.500), Pb at (0.500, 0.500, 0.000), Pb at (0.500, 0.500, 0.193) and Pb at (0.500, 0.500, 0.390).

---

HfCoTe2I: optimized geometry, PBE.

For the raw total energy, the calculation gives -22.3 eV for the cell shown. The calculation puts the density of states at the Fermi level at 7.47 states/eV/cell. The energy above the most stable polymorph in this dataset is 0.0483 eV/atom.

The space group is P4/mmm (No. 123) and the conventional cell measures 5.581, 5.581 and 5.667 Å, with angles of 90.00, 90.00 and 90.00 degrees. The asymmetric unit holds Hf at (0.000, 0.000, 0.000), Co at (0.500, 0.500, 0.500), Te at (0.000, 0.500, 0.000) and I at (0.000, 0.000, 0.500).